Model 1:
A plane-wave DFT calculation with PBE was carried out for an optimized crystal structure of YCr2Re.

Geometry as POSCAR:
```
YCr2Re
1.0
3.0490 0.0000 0.0000
0.0000 3.0490 0.0000
0.0000 0.0000 7.3414
Cr Re Y
2 1 1
direct
0.0000 0.0000 0.0630 Cr
0.5000 0.5000 0.2552 Cr
0.0000 0.0000 0.4449 Re
0.5000 0.5000 0.7369 Y
```

Calculated values
Space-group type: No. 99


Model 2:
A plane-wave DFT calculation with PBE was carried out for an optimized crystal structure of YCr2Re.

Geometry as POSCAR:
```
YCr2Re
1.0
-1.3359 1.4607 -3.6225
-2.5787 0.5422 1.1696
0.6308 5.4790 1.9766
Cr Re Y
2 1 1
direct
0.0000 0.9722 0.0799 Cr
0.0000 0.5278 0.4201 Cr
0.5000 0.2500 0.2500 Re
0.5000 0.7500 0.7500 Y
```

Calculated values
Space-group type: No. 10


Model 3:
A plane-wave DFT calculation with PBE was carried out for an optimized crystal structure of YCr2Re.

Geometry as POSCAR:
```
YCr2Re
1.0
2.7828 0.0000 0.0000
-1.0060 2.5946 0.0000
0.0000 0.0000 8.8386
Cr Re Y
2 1 1
direct
0.0000 0.0000 0.0311 Cr
0.0000 0.0000 0.4689 Cr
0.5000 0.5000 0.2500 Re
0.5000 0.5000 0.7500 Y
```

Calculated values
Space-group type: No. 65


Model 4:
A plane-wave DFT calculation with PBE was carried out for an optimized crystal structure of YCr2Re.

Geometry as POSCAR:
```
YCr2Re
1.0
5.3572 -0.0040 -0.0125
-2.4549 4.5018 -0.0012
0.4474 0.8311 2.5981
Cr Re Y
2 1 1
direct
0.0000 0.0000 0.0000 Cr
0.5000 0.0000 0.5000 Cr
0.0000 0.5000 0.5000 Re
0.5000 0.5000 0.0000 Y
```

Calculated values
Space-group type: No. 12


What are the relative energies? In meV per atom: model 1 0; model 2 59; model 3 244; model 4 292.


Model 1:
A plane-wave DFT calculation with PBE was carried out for an optimized crystal structure of YCr2Re.

Geometry as POSCAR:
```
YCr2Re
1.0
3.7161 0.0000 0.0000
0.0000 2.9858 0.0266
0.0000 1.7775 6.1144
Cr Re Y
2 1 1
direct
0.0000 0.0407 0.0734 Cr
0.5000 0.2142 0.2403 Cr
0.0000 0.4735 0.4290 Re
0.5000 0.7716 0.7573 Y
```

Calculated values
Space-group type: No. 6


Model 2:
A plane-wave DFT calculation with PBE was carried out for an optimized crystal structure of YCr2Re.

Geometry as POSCAR:
```
YCr2Re
1.0
-5.6263 1.0063 4.4175
-1.5740 -7.0387 -0.4012
-1.8940 -3.5282 4.2977
Y Re Cr
2 2 4
direct
0.5000 0.5000 0.0000 Y
0.2500 0.7500 0.5000 Y
0.0000 0.0000 0.0000 Re
0.7500 0.2500 0.5000 Re
0.6837 0.1250 0.2500 Cr
0.0663 0.6250 0.2500 Cr
0.3750 0.3163 0.7500 Cr
0.8750 0.9337 0.7500 Cr
```

Calculated values
Space-group type: No. 122


Model 3:
A plane-wave DFT calculation with PBE was carried out for an optimized crystal structure of YCr2Re.

Geometry as POSCAR:
```
YCr2Re
1.0
-4.3224 0.9725 3.0034
0.6536 -0.2045 5.3085
1.4113 2.3532 -4.5956
Cr Re Y
2 1 1
direct
0.9763 0.9763 0.0000 Cr
0.7462 0.2462 0.5000 Cr
0.5250 0.5250 0.0000 Re
0.2524 0.7524 0.5000 Y
```

Calculated values
Space-group type: No. 44


Model 4:
A plane-wave DFT calculation with PBE was carried out for an optimized crystal structure of YCr2Re.

Geometry as POSCAR:
```
YCr2Re
1.0
-0.3656 4.0256 2.0404
-2.8708 -1.7863 3.0116
2.3774 -0.7172 1.8409
Cr Re Y
2 1 1
direct
0.0000 0.0000 0.0000 Cr
0.5000 0.5000 0.0000 Cr
0.5000 0.0000 0.5000 Re
0.0000 0.5000 0.5000 Y
```

Calculated values
Space-group type: No. 123


What are the relative energies? In meV per atom: model 1 0; model 2 339; model 3 45; model 4 99.